Entry 1:
DFT (GGA-PBE) results for a relaxed Ag4Ge2Se5Cl crystal.

CIF file:
```
data_Ag4Ge2Se5Cl
_chemical_formula_sum 'Ag8 Ge4 Se10 Cl2'
_space_group_name_H-M_alt 'A m m 2'
_space_group_IT_number 38
_space_group_name_Hall 'A 2 -2'
_cell_length_a 7.588
_cell_length_b 11.614
_cell_length_c 6.559
_cell_angle_alpha 90.00
_cell_angle_beta 90.00
_cell_angle_gamma 90.00
loop_
_atom_site_label
_atom_site_type_symbol
_atom_site_fract_x
_atom_site_fract_y
_atom_site_fract_z
_atom_site_occupancy
Ag1 Ag 0.000 0.190 0.000 1
Ag2 Ag 0.286 0.000 0.497 1
Ge1 Ge 0.500 0.192 0.993 1
Se1 Se 0.260 0.190 0.709 1
Se2 Se 0.500 0.000 0.172 1
Cl1 Cl 0.000 0.000 0.231 1
```

Summary:
uncorrected formation energy	-160	meV per atom
DFT total energy	-3.486	eV per atom

Entry 2:
DFT (GGA-PBE) results for a relaxed Ag5GeSe4Cl2 crystal.

CIF file:
```
data_Ag5GeSe4Cl2
_chemical_formula_sum 'Ag10 Ge2 Se8 Cl4'
_space_group_name_H-M_alt 'A m m 2'
_space_group_IT_number 38
_space_group_name_Hall 'A 2 -2'
_cell_length_a 7.914
_cell_length_b 11.752
_cell_length_c 6.399
_cell_angle_alpha 90.00
_cell_angle_beta 90.00
_cell_angle_gamma 90.00
loop_
_atom_site_label
_atom_site_type_symbol
_atom_site_fract_x
_atom_site_fract_y
_atom_site_fract_z
_atom_site_occupancy
Ag1 Ag 0.000 0.000 0.000 1
Ag2 Ag 0.272 0.190 0.498 1
Ge1 Ge 0.500 0.000 0.065 1
Se1 Se 0.250 0.000 0.273 1
Se2 Se 0.500 0.167 0.841 1
Cl1 Cl 0.000 0.171 0.729 1
```

Summary:
uncorrected formation energy	-241	meV per atom
DFT total energy	-3.283	eV per atom